Entry 1:
! ZrAl2Os, relaxed, DFT GGA-PBE; values from VASP
! N(E_F) = 1.9 states/eV/f.u.
! Energy relative to the elements = -0.329 eV/atom
! Calculated total energy = -7.14 eV per atom
! Symmetry = P2/m
! Calculated volume = 68.2 Å³/f.u.
&SYSTEM
  ibrav = 0, nat = 4, ntyp = 3
/
ATOMIC_SPECIES
Os 190.23 Os.upf
Al 26.98 Al.upf
Zr 91.22 Zr.upf
ATOMIC_POSITIONS angstrom
Os 2.183 1.007 1.276
Al 0.000 0.363 0.102
Al 0.000 1.650 2.449
Zr 2.183 3.021 3.827
CELL_PARAMETERS angstrom
4.365 0.000 0.000
0.000 3.055 -0.010
0.000 0.973 5.113

Entry 2:
! ZrAl2Os, relaxed, DFT GGA-PBE; values from VASP
! N(E_F) = 2.3 states/eV/f.u.
! Energy relative to the elements = 0.038 eV/atom
! Calculated total energy = -6.78 eV per atom
! Symmetry = I-42d
! Calculated volume = 73.0 Å³/f.u.
&SYSTEM
  ibrav = 0, nat = 8, ntyp = 3
/
ATOMIC_SPECIES
Zr 91.22 Zr.upf
Al 26.98 Al.upf
Os 190.23 Os.upf
ATOMIC_POSITIONS angstrom
Zr -0.580 -1.841 -1.944
Zr -5.759 -2.543 -1.663
Al -8.525 -2.880 -4.422
Al -2.757 -0.293 -2.804
Al -7.923 -0.954 -2.478
Al -3.112 -2.212 -0.792
Os -5.399 -0.626 -3.585
Os 0.000 0.000 0.000
CELL_PARAMETERS angstrom
-0.220 0.077 -3.867
-0.940 -3.758 -0.021
-9.999 0.511 -1.361

Entry 3:
! Zr2Al2Os, relaxed, DFT GGA-PBE; values from VASP
! N(E_F) = 4.3 states/eV/f.u.
! Energy relative to the elements = 0.513 eV/atom
! Calculated total energy = -6.65 eV per atom
! Symmetry = I4/mmm
! Calculated volume = 95.5 Å³/f.u.
&SYSTEM
  ibrav = 0, nat = 5, ntyp = 3
/
ATOMIC_SPECIES
Al 26.98 Al.upf
Os 190.23 Os.upf
Zr 91.22 Zr.upf
ATOMIC_POSITIONS angstrom
Al 3.838 3.838 5.317
Al 1.919 1.919 1.166
Os 0.000 0.000 0.000
Zr 1.919 3.838 3.241
Zr 3.838 1.919 3.241
CELL_PARAMETERS angstrom
3.838 0.000 0.000
0.000 3.838 0.000
1.919 1.919 6.483

Entry 4:
! Al5P3, relaxed, DFT GGA-PBE; values from VASP
! N(E_F) = 2.4 states/eV/f.u.
! Energy relative to the elements = 0.054 eV/atom
! Calculated total energy = -4.31 eV per atom
! Symmetry = Cmmm
! Calculated volume = 129.2 Å³/f.u.
&SYSTEM
  ibrav = 0, nat = 8, ntyp = 2
/
ATOMIC_SPECIES
Al 26.98 Al.upf
P 30.97 P.upf
ATOMIC_POSITIONS angstrom
Al 1.583 -2.352 0.000
Al 1.583 2.352 0.000
Al 1.755 0.000 2.167
Al 0.000 0.000 0.000
Al 4.579 0.000 2.167
P 3.167 2.885 2.167
P 3.167 0.000 0.000
P 3.167 -2.885 2.167
CELL_PARAMETERS angstrom
3.167 -4.705 0.000
3.167 4.705 0.000
0.000 0.000 4.334

Q: Which of these has the lowest calculated total energy?
A: number 1

Q: Number 1 is which compound?
A: ZrAl2Os